# 1
NdTmIrRh | PBE-GGA | optimized geometry

Geometry as POSCAR:
```
NdTmIrRh
1.0
-1.848 2.884 3.504
-1.771 -1.977 4.118
2.411 0.572 4.226
Rh Nd Ir Tm
1 1 1 1
Direct
0.500 0.500 0.500 Rh
0.250 0.250 0.250 Nd
0.000 0.000 0.000 Ir
0.750 0.750 0.750 Tm
```

Values from the calculation:
- Raw total energy: -7.126 eV/atom
- Formation energy: -0.763 eV/atom
- Symmetry: No. 216

---

# 2
CaCoBi2Mo | PBE-GGA | optimized geometry

Geometry as POSCAR:
```
CaCoBi2Mo
1.0
5.312 0.000 0.000
0.000 5.574 0.000
0.000 0.000 5.312
Bi Mo Co Ca
2 1 1 1
Direct
0.500 0.000 0.000 Bi
0.000 0.000 0.500 Bi
0.000 0.000 0.000 Mo
0.500 0.500 0.500 Co
0.000 0.500 0.000 Ca
```

Values from the calculation:
- Raw total energy: -4.531 eV/atom
- Formation energy: 1.009 eV/atom
- Symmetry: No. 123

---

# 3
NdGe4Os | PBE-GGA | optimized geometry

Geometry as POSCAR:
```
NdGe4Os
1.0
6.414 -0.003 0.001
0.003 6.679 1.278
-3.209 -1.585 5.454
Ge Os Nd
8 2 2
Direct
0.870 0.856 0.509 Ge
0.320 0.588 0.898 Ge
0.639 0.356 0.509 Ge
0.130 0.144 0.491 Ge
0.361 0.644 0.491 Ge
0.422 0.912 0.102 Ge
0.578 0.088 0.898 Ge
0.680 0.412 0.102 Ge
0.000 0.500 0.500 Os
0.500 0.000 0.500 Os
0.093 0.250 0.000 Nd
0.907 0.750 0.000 Nd
```

Values from the calculation:
- Raw total energy: -5.984 eV/atom
- Formation energy: -0.240 eV/atom
- Symmetry: No. 15

---

# 4
LiLaSnPt3 | PBE-GGA | optimized geometry

Geometry as POSCAR:
```
LiLaSnPt3
1.0
-4.970 4.110 -2.438
-3.817 -4.341 0.463
0.585 3.940 5.448
Pt Sn Li La
6 2 2 2
Direct
0.500 0.752 0.000 Pt
0.000 0.752 0.000 Pt
0.750 0.846 0.691 Pt
0.000 0.248 0.000 Pt
0.500 0.248 0.000 Pt
0.250 0.154 0.309 Pt
0.250 0.371 0.743 Sn
0.750 0.629 0.257 Sn
0.750 0.081 0.162 Li
0.250 0.919 0.838 Li
0.250 0.674 0.347 La
0.750 0.326 0.653 La
```

Values from the calculation:
- Raw total energy: -5.517 eV/atom
- Formation energy: -0.689 eV/atom
- Symmetry: No. 63

---

# 5
Tb6Nd8Tl | PBE-GGA | optimized geometry

Geometry as POSCAR:
```
Tb6Nd8Tl
1.0
6.581 0.000 0.000
0.000 8.151 -4.706
0.000 0.000 9.412
Tb Nd Tl
6 8 1
Direct
0.334 0.097 0.449 Tb
0.334 0.352 0.903 Tb
0.666 0.449 0.352 Tb
0.666 0.903 0.551 Tb
0.334 0.551 0.648 Tb
0.666 0.648 0.097 Tb
0.820 0.728 0.769 Nd
0.143 0.667 0.333 Nd
0.180 0.958 0.728 Nd
0.180 0.272 0.231 Nd
0.857 0.333 0.667 Nd
0.820 0.231 0.958 Nd
0.180 0.769 0.042 Nd
0.820 0.042 0.272 Nd
0.500 0.000 0.000 Tl
```

Values from the calculation:
- Raw total energy: -4.470 eV/atom
- Formation energy: 0.082 eV/atom
- Symmetry: No. 147

---

# 6
PmPu3P4N12 | PBE-GGA | optimized geometry

Geometry as POSCAR:
```
PmPu3P4N12
1.0
-6.394 -2.078 -1.400
1.820 -3.912 5.342
-0.910 6.205 2.797
N Pm Pu P
12 1 3 4
Direct
0.899 0.500 0.101 N
0.971 0.196 0.357 N
0.196 0.357 0.971 N
0.029 0.643 0.804 N
0.804 0.029 0.643 N
0.354 0.646 0.500 N
0.500 0.354 0.646 N
0.101 0.899 0.500 N
0.646 0.500 0.354 N
0.357 0.971 0.196 N
0.643 0.804 0.029 N
0.500 0.101 0.899 N
0.000 0.000 0.000 Pm
0.000 0.547 0.453 Pu
0.453 0.000 0.547 Pu
0.547 0.453 0.000 Pu
0.953 0.047 0.500 P
0.500 0.500 0.500 P
0.500 0.953 0.047 P
0.047 0.500 0.953 P
```

Values from the calculation:
- Raw total energy: -9.104 eV/atom
- Energy relative to the elements, uncorrected: -12.79 eV per formula unit
- Symmetry: No. 155

---

# 7
K2CoSi | PBE-GGA | optimized geometry

Geometry as POSCAR:
```
K2CoSi
1.0
-2.472 5.369 -1.688
-4.015 3.067 3.503
5.465 -2.788 0.387
Si Co K
1 1 2
Direct
0.250 0.750 0.500 Si
0.750 0.250 0.500 Co
0.500 0.500 0.000 K
0.000 0.000 0.000 K
```

Values from the calculation:
- Raw total energy: -2.763 eV/atom
- Energy relative to the elements, uncorrected: 3.67 eV per formula unit
- Symmetry: No. 139

---

# 8
Cs2NaIrCl6 | PBE-GGA | optimized geometry

Geometry as POSCAR:
```
Cs2NaIrCl6
1.0
7.397 0.000 0.000
0.000 7.397 0.000
3.699 3.699 5.232
Cl Cs Na Ir
6 2 1 1
Direct
0.228 0.228 0.544 Cl
0.228 0.228 0.000 Cl
0.772 0.772 0.456 Cl
0.772 0.772 0.000 Cl
0.772 0.228 0.000 Cl
0.228 0.772 0.000 Cl
0.250 0.750 0.500 Cs
0.750 0.250 0.500 Cs
0.500 0.500 0.000 Na
0.000 0.000 0.000 Ir
```

Values from the calculation:
- Raw total energy: -3.666 eV/atom
- Energy relative to the elements, uncorrected: -13.69 eV per formula unit
- Symmetry: No. 225
- Energy above the lowest structure with this stoichiometry: 31 meV/atom

---

# 9
Sc2Ge2Sb | PBE-GGA | optimized geometry

Geometry as POSCAR:
```
Sc2Ge2Sb
1.0
-0.718 -1.817 3.196
1.437 -3.136 -1.460
7.293 -0.538 3.529
Sc Sb Ge
2 1 2
Direct
0.391 0.391 0.218 Sc
0.609 0.609 0.782 Sc
0.000 0.000 0.000 Sb
0.750 0.250 0.500 Ge
0.250 0.750 0.500 Ge
```

Values from the calculation:
- Raw total energy: -5.800 eV/atom
- Energy relative to the elements, uncorrected: -2.98 eV per formula unit
- Symmetry: No. 139
- Energy above the lowest structure with this stoichiometry: 0 meV/atom

---

# 10
In4Pb7 | PBE-GGA | optimized geometry

Geometry as POSCAR:
```
In4Pb7
1.0
3.554 0.000 0.000
0.000 9.117 -5.263
0.000 0.000 10.526
Pb In
7 4
Direct
0.000 0.528 0.057 Pb
0.000 0.528 0.472 Pb
0.500 0.180 0.820 Pb
0.500 0.180 0.360 Pb
0.500 0.640 0.820 Pb
0.000 0.943 0.472 Pb
0.000 0.000 0.000 Pb
0.500 0.829 0.171 In
0.000 0.333 0.667 In
0.500 0.829 0.658 In
0.500 0.342 0.171 In
```

Values from the calculation:
- Raw total energy: -3.298 eV/atom
- Formation energy: 0.058 eV/atom
- Symmetry: No. 187

---

# 11
Li2ZrSnRu | PBE-GGA | optimized geometry

Geometry as POSCAR:
```
Li2ZrSnRu
1.0
4.583 0.000 0.000
0.000 5.292 0.000
0.000 0.000 4.583
Sn Zr Li Ru
1 1 2 1
Direct
0.000 0.500 0.000 Sn
0.000 0.000 0.000 Zr
0.000 0.000 0.500 Li
0.500 0.000 0.000 Li
0.500 0.500 0.500 Ru
```

Values from the calculation:
- Raw total energy: -3.460 eV/atom
- Formation energy: 1.671 eV/atom
- Symmetry: No. 123
- Energy above the lowest structure with this stoichiometry: 707 meV/atom

---

# 12
Cs3K2AgCl6 | PBE-GGA | optimized geometry

Geometry as POSCAR:
```
Cs3K2AgCl6
1.0
-7.220 2.330 3.265
0.906 -7.051 -4.203
3.735 -2.212 6.843
K Cs Cl Ag
2 3 6 1
Direct
0.324 0.676 0.000 K
0.676 0.324 0.000 K
0.500 0.500 0.500 Cs
0.160 0.840 0.500 Cs
0.840 0.160 0.500 Cs
0.215 0.215 0.826 Cl
0.430 0.089 0.238 Cl
0.089 0.430 0.238 Cl
0.911 0.570 0.762 Cl
0.570 0.911 0.762 Cl
0.785 0.785 0.174 Cl
0.000 0.000 0.000 Ag
```

Values from the calculation:
- Raw total energy: -3.226 eV/atom
- Energy relative to the elements, uncorrected: -20.02 eV per formula unit
- Symmetry: No. 12

---

# 13
Na4Np3ScN8 | PBE-GGA | optimized geometry

Geometry as POSCAR:
```
Na4Np3ScN8
1.0
6.825 0.000 0.000
0.000 6.886 0.039
-3.413 -3.411 4.828
N Np Sc Na
8 3 1 4
Direct
0.729 0.686 0.458 N
0.713 0.682 0.948 N
0.765 0.318 0.052 N
0.271 0.314 0.542 N
0.287 0.318 0.052 N
0.235 0.682 0.948 N
0.766 0.318 0.531 N
0.234 0.682 0.469 N
0.500 0.500 0.500 Np
0.500 0.500 0.000 Np
0.000 0.500 0.500 Np
0.000 0.500 0.000 Sc
0.000 0.000 0.000 Na
0.000 0.000 0.500 Na
0.500 0.000 0.000 Na
0.500 0.000 0.500 Na
```

Values from the calculation:
- Raw total energy: -8.217 eV/atom
- Energy relative to the elements, uncorrected: -14.44 eV per formula unit
- Symmetry: No. 166

---

# 14
Te2IrW | PBE-GGA | optimized geometry

Geometry as POSCAR:
```
Te2IrW
1.0
3.646 -3.044 0.235
0.160 -3.255 3.462
-0.669 -4.595 -1.024
W Te Ir
1 2 1
Direct
0.000 0.000 0.000 W
0.250 0.250 0.250 Te
0.750 0.750 0.750 Te
0.500 0.500 0.500 Ir
```

Values from the calculation:
- Raw total energy: -6.311 eV/atom
- Energy relative to the elements, uncorrected: 2.85 eV per formula unit
- Symmetry: No. 225
- Energy above the lowest structure with this stoichiometry: 573 meV/atom

---

# 15
Y4IrPt3 | PBE-GGA | optimized geometry

Geometry as POSCAR:
```
Y4IrPt3
1.0
-2.470 1.197 2.159
2.020 -0.775 2.740
5.646 12.684 -0.573
Ir Y Pt
1 4 3
Direct
0.500 0.500 0.000 Ir
0.000 0.000 0.626 Y
0.000 0.000 0.374 Y
0.000 0.000 0.120 Y
0.000 0.000 0.880 Y
0.500 0.500 0.752 Pt
0.500 0.500 0.500 Pt
0.500 0.500 0.248 Pt
```

Values from the calculation:
- Raw total energy: -7.707 eV/atom
- Formation energy: -1.102 eV/atom
- Symmetry: No. 123

---

# 16
CsBaNpF6 | PBE-GGA | optimized geometry

Geometry as POSCAR:
```
CsBaNpF6
1.0
-1.702 1.942 -6.415
-2.428 -5.941 2.573
-8.093 4.877 3.624
F Ba Np Cs
12 2 2 2
Direct
0.367 0.287 0.374 F
0.920 0.287 0.126 F
0.633 0.713 0.626 F
0.920 0.633 0.374 F
0.287 0.367 0.874 F
0.713 0.633 0.126 F
0.367 0.080 0.126 F
0.713 0.080 0.374 F
0.080 0.713 0.874 F
0.080 0.367 0.626 F
0.633 0.920 0.874 F
0.287 0.920 0.626 F
0.000 0.000 0.500 Ba
0.000 0.000 0.000 Ba
0.333 0.667 0.750 Np
0.667 0.333 0.250 Np
0.333 0.667 0.250 Cs
0.667 0.333 0.750 Cs
```

Values from the calculation:
- Raw total energy: -6.379 eV/atom
- Energy relative to the elements, uncorrected: -30.47 eV per formula unit
- Symmetry: No. 163

---

# 17
Ni2SI2 | PBE-GGA | optimized geometry

Geometry as POSCAR:
```
Ni2SI2
1.0
7.623 0.000 0.000
0.000 7.623 0.000
0.000 0.000 3.495
Ni I S
4 4 2
Direct
0.889 0.389 0.500 Ni
0.111 0.611 0.500 Ni
0.389 0.111 0.500 Ni
0.611 0.889 0.500 Ni
0.673 0.173 0.000 I
0.827 0.673 0.000 I
0.327 0.827 0.000 I
0.173 0.327 0.000 I
0.500 0.500 0.000 S
0.000 0.000 0.000 S
```

Values from the calculation:
- Raw total energy: -2.989 eV/atom
- Energy relative to the elements, uncorrected: 3.85 eV per formula unit
- Symmetry: No. 127

---

# 18
TaTeAs2 | PBE-GGA | optimized geometry

Geometry as POSCAR:
```
TaTeAs2
1.0
-2.594 -3.653 -1.968
4.006 -2.325 1.580
-1.489 -0.545 2.975
Ta As Te
1 2 1
Direct
0.500 0.000 0.500 Ta
0.000 0.000 0.000 As
0.500 0.500 0.000 As
0.000 0.500 0.500 Te
```

Values from the calculation:
- Raw total energy: -5.592 eV/atom
- Energy relative to the elements, uncorrected: 1.93 eV per formula unit
- Symmetry: No. 65

---

# 19
CaMg2Hg | PBE-GGA | optimized geometry

Geometry as POSCAR:
```
CaMg2Hg
1.0
4.273 0.000 0.000
0.000 4.273 0.000
0.000 0.000 11.530
Mg Ca Hg
4 2 2
Direct
0.000 0.500 0.066 Mg
0.500 0.500 0.500 Mg
0.500 0.000 0.934 Mg
0.000 0.000 0.500 Mg
0.500 0.000 0.237 Ca
0.000 0.500 0.763 Ca
0.500 0.000 0.678 Hg
0.000 0.500 0.322 Hg
```

Values from the calculation:
- Raw total energy: -1.636 eV/atom
- Formation energy: -0.263 eV/atom
- Symmetry: No. 129

---

# 20
LiAcI | PBE-GGA | optimized geometry

Geometry as POSCAR:
```
LiAcI
1.0
4.072 0.000 0.000
-2.036 3.527 0.000
0.000 0.000 14.340
Ac I Li
2 2 2
Direct
0.333 0.667 0.452 Ac
0.667 0.333 0.943 Ac
0.667 0.333 0.270 I
0.667 0.333 0.634 I
0.333 0.667 0.749 Li
0.333 0.667 0.147 Li
```

Values from the calculation:
- Raw total energy: -3.106 eV/atom
- Energy relative to the elements, uncorrected: -1.75 eV per formula unit
- Symmetry: No. 156